First-principles (PBE) data for SiTcAs2 after structural relaxation, as listed in Alexandria.

Properties
E_form (uncorrected) in eV per formula unit: 1.08
Total DFT energy (no corrections) in eV/cell: -24.00
M_tot in Bohr magnetons per cell: 0.00

abc: 3.4034 4.9347 3.9526
angles: 90.00 91.38 90.00
Closest atoms and distances in Å follow each position.
Sites, in units of the cell vectors:
Si 0.0000 0.0000 0.0000  4 Tc 2.58-2.64, 4 As 2.84
Tc 0.5000 0.0000 0.5000  4 Si 2.58-2.64, 4 As 2.75
As 0.2579 0.5000 0.7245  3 As 2.45-2.70
As 0.7421 0.5000 0.2755  3 As 2.45-2.70